This record from Alexandria describes Ac2Zn4SnPt3 after structural relaxation. The functional is PBE.

POSCAR file:
```
Ac2Zn4SnPt3
1.0
4.308 0.000 0.000
0.000 4.308 0.000
0.000 0.000 11.478
Ac Zn Sn Pt
2 4 1 3
Direct
0.000 0.500 0.241
0.500 0.000 0.759
0.000 0.000 0.000
0.000 0.500 0.641
0.500 0.000 0.359
0.500 0.500 0.000
0.000 0.000 0.500
0.000 0.500 0.867
0.500 0.000 0.133
0.500 0.500 0.500
```

Symmetry: P-4m2, No. 115

***

This record from Alexandria describes MnZnAs2 after structural relaxation. The functional is PBE.

POSCAR file:
```
MnZnAs2
1.0
-2.808 2.808 5.372
2.808 -2.808 5.372
2.808 2.808 -5.372
Mn Zn As
2 2 4
Direct
0.000 0.000 0.000
0.750 0.250 0.500
0.250 0.750 0.500
0.500 0.500 0.000
0.088 0.625 0.963
0.375 0.338 0.463
0.662 0.125 0.037
0.875 0.912 0.537
```

Symmetry: I-42d, No. 122

***

| no. | total DFT energy (no corrections) (eV per cell) | energy of formation from the pure elements (meV/atom) | total moment (μB/f.u.) |
| --- | --- | --- | --- |
| 1 | -42.58 | -714 | 0.000 |
| 2 | -37.90 | 199 | 0.000 |